The following is a PBE calculation of crystalline RbLa3Be at its relaxed geometry, from Alexandria.

extended XYZ file:
```
5
Lattice="5.647 0.000 0.000 0.000 5.647 0.000 0.000 0.000 5.647" Properties=species:S:1:pos:R:3 pbc="T T T"
La 0.000 0.000 2.823
La 2.823 0.000 0.000
La 0.000 2.823 0.000
Be 2.823 2.823 2.823
Rb 0.000 0.000 0.000
```

Properties
Energy above the most stable polymorph in this dataset ... 5.15 eV per formula unit
Calculated volume ... 36.01 Å³/atom
Fermi-level density of states ... 9.24 states/eV/f.u.
M_tot ... 0.000 μB/atom

=====

The following is a PBE calculation of crystalline Pa3Se4 at its relaxed geometry, from Alexandria.

extended XYZ file:
```
7
Lattice="-4.957 -0.116 0.271 -2.227 -2.428 3.715 -2.310 5.825 5.740" Properties=species:S:1:pos:R:3 pbc="T T T"
Pa 0.000 0.000 0.000
Pa -2.371 0.995 2.547
Pa -7.123 2.287 7.179
Se -4.715 4.214 6.564
Se -7.153 -0.127 5.583
Se -4.780 -0.933 3.161
Se -2.341 3.409 4.143
```

Properties
Formation energy without anion corrections ... -1188 meV per atom
Energy above the most stable polymorph in this dataset ... 0.00 eV per formula unit
Calculated volume ... 24.40 Å³/atom
Fermi-level density of states ... 15.05 states/eV/f.u.
M_tot ... 0.518 μB/atom

=====

The following is a PBE calculation of crystalline CdTcSn6 at its relaxed geometry, from Alexandria.

extended XYZ file:
```
8
Lattice="6.140 0.938 -0.007 -1.414 6.048 -0.007 -0.953 -1.408 5.637" Properties=species:S:1:pos:R:3 pbc="T T T"
Tc 1.887 2.789 2.812
Sn 3.708 1.924 4.525
Sn 0.065 3.653 1.098
Sn 3.357 4.962 2.267
Sn 0.407 4.158 4.525
Sn 0.416 0.616 3.357
Sn 3.367 1.420 1.098
Cd 0.000 0.000 0.000
```

Properties
Electronic total energy ... -4.2319 eV/atom
Calculated volume ... 27.09 Å³/atom
Fermi-level density of states ... 4.51 states/eV/f.u.
M_tot ... 0.000 μB/atom

=====

The following is a PBE calculation of crystalline In2SbIr at its relaxed geometry, from Alexandria.

extended XYZ file:
```
4
Lattice="-2.541 -0.551 -7.900 1.201 -1.173 -8.146 -1.139 -4.013 -7.195" Properties=species:S:1:pos:R:3 pbc="T T T"
Sb -1.914 -4.426 -17.933
In -0.581 -1.344 -5.444
In -2.475 -5.726 -23.198
Ir -1.230 -2.846 -11.530
```

Properties
Formation energy without anion corrections ... 17 meV per atom
Calculated volume ... 25.10 Å³/atom
Fermi-level density of states ... 1.74 states/eV/f.u.
M_tot ... 0.000 μB/atom

=====

The following is a PBE calculation of crystalline Pm3SiGe6Rh2 at its relaxed geometry, from Alexandria.

extended XYZ file:
```
12
Lattice="5.676 0.000 0.000 -2.838 4.916 0.000 0.000 0.000 9.052" Properties=species:S:1:pos:R:3 pbc="T T T"
Ge 1.356 4.060 2.485
Ge 2.838 3.205 6.567
Ge -1.356 4.060 2.485
Ge 1.482 0.856 6.567
Ge 0.000 1.711 2.485
Ge 4.194 0.856 6.567
Pm 0.000 3.277 5.342
Pm 0.000 0.000 0.000
Pm 2.838 1.639 3.710
Rh 2.838 1.639 8.540
Rh 0.000 3.277 0.512
Si 0.000 0.000 4.526
```

Properties
Formation energy without anion corrections ... -281 meV per atom
Calculated volume ... 21.05 Å³/atom
Fermi-level density of states ... 6.65 states/eV/f.u.
M_tot ... 0.000 μB/atom

=====

The following is a PBE calculation of crystalline Cs2ThTe3 at its relaxed geometry, from Alexandria.

extended XYZ file:
```
24
Lattice="8.744 0.237 -1.673 -3.163 8.155 -1.673 -0.251 -0.377 15.485" Properties=species:S:1:pos:R:3 pbc="T T T"
Te 0.543 0.133 10.442
Te 2.961 5.135 8.614
Te 0.731 7.556 5.444
Te 5.220 0.711 11.267
Te -0.148 6.916 1.026
Te 4.537 6.823 -2.721
Te 1.739 3.298 3.524
Te 1.043 1.569 -0.626
Te 6.693 2.926 0.872
Te 5.416 7.463 1.697
Te -1.355 4.418 6.695
Te -1.106 5.476 11.112
Cs 2.160 3.248 11.748
Cs 1.306 1.964 7.105
Cs 4.408 0.174 -0.638
Cs 4.023 6.050 5.034
Cs 6.021 2.599 8.133
Cs 5.262 1.457 4.005
Cs 6.875 3.882 12.776
Cs 3.170 4.767 0.391
Th 0.431 0.649 2.346
Th -0.743 5.338 3.723
Th 0.119 6.635 8.415
Th 4.898 7.366 9.792
```

Properties
Formation energy without anion corrections ... -1227 meV per atom
Energy above the most stable polymorph in this dataset ... 0.06 eV per formula unit
Calculated volume ... 46.04 Å³/atom
Fermi-level density of states ... 0.00 states/eV/f.u.
M_tot ... 0.000 μB/atom